Record 1
The following is a PBE-GGA calculation of a geometry-optimized LiPr3Ir8 structure, from the Alexandria database.

Its electronic total energy is -280.13 eV for the cell shown. The value obtained for the energy of formation from the pure elements is -0.520 eV per atom. The crystal system is trigonal.

a b c (Å): 5.4063 5.4063 26.4409
angles (deg): 90.00 90.00 120.00
Space group R3m (No. 160, hexagonal axes)
Inequivalent atoms, fractional coordinates:
Li (0.0000, 0.0000, 0.0000)
Pr (0.0000, 0.0000, 0.3669)
Pr (0.0000, 0.0000, 0.4954)
Pr (0.0000, 0.0000, 0.8775)
Ir (0.0000, 0.0000, 0.1837)
Ir (0.0000, 0.0000, 0.6833)
Ir (0.9998, 0.4999, 0.9346)
Ir (0.1679, 0.3358, 0.7657)

---

Record 2
The following is a PBE-GGA calculation of a geometry-optimized LiPrIr structure, from the Alexandria database.

Its electronic total energy is -50.22 eV for the cell shown. The value obtained for the energy of formation from the pure elements is -0.395 eV per atom. The crystal system is hexagonal.

a b c (Å): 7.2511 7.2511 4.1170
angles (deg): 90.00 90.00 120.00
Space group P-62m (No. 189)
Inequivalent atoms, fractional coordinates:
Li (0.0000, 0.7672, 0.0000)
Pr (0.0000, 0.4070, 0.5000)
Ir (0.0000, 0.0000, 0.5000)
Ir (0.3333, 0.6667, 0.0000)

---

Record 3
The following is a PBE-GGA calculation of a geometry-optimized LiPrSbIr structure, from the Alexandria database.

Its electronic total energy is -89.17 eV for the cell shown. The uncorrected formation energy comes out at -2.62 eV per formula unit. The crystal system is cubic.

a b c (Å): 6.8291 6.8291 6.8291
angles (deg): 90.00 90.00 90.00
Space group F-43m (No. 216)
Inequivalent atoms, fractional coordinates:
Li (0.0000, 0.0000, 0.0000)
Pr (0.2500, 0.2500, 0.2500)
Sb (0.2500, 0.2500, 0.7500)
Ir (0.0000, 0.0000, 0.5000)

---

Record 4
The following is a PBE-GGA calculation of a geometry-optimized LiPr2Si4Ir3 structure, from the Alexandria database.

Its electronic total energy is -68.55 eV for the cell shown. The uncorrected formation energy comes out at -8.80 eV per formula unit. The crystal system is tetragonal.

a b c (Å): 4.2557 4.2557 9.8039
angles (deg): 90.00 90.00 90.00
Space group P-4m2 (No. 115)
Inequivalent atoms, fractional coordinates:
Li (0.0000, 0.0000, 0.0000)
Pr (0.0000, 0.5000, 0.7465)
Si (0.0000, 0.0000, 0.5000)
Si (0.0000, 0.5000, 0.1300)
Si (0.5000, 0.5000, 0.5000)
Ir (0.0000, 0.5000, 0.3763)
Ir (0.5000, 0.5000, 0.0000)

---

no.,ρ (kg/m³)
1,14644
2,9037
3,9631
4,9144